[1]
# Dy2GaHgGe PBE-GGA relaxed
# **DFT total energy**: -3.968 eV/atom
# **Formation energy from the elements**: -538 meV per atom
data_Dy2GaHgGe
_symmetry_space_group_name_H-M 'P 1'
_symmetry_Int_Tables_number 1
_cell_length_a 4.479
_cell_length_b 7.478
_cell_length_c 7.270
_cell_angle_alpha 90.01
_cell_angle_beta 90.00
_cell_angle_gamma 90.00
loop_
_symmetry_equiv_pos_as_xyz
'x,y,z'
loop_
_atom_site_label
_atom_site_type_symbol
_atom_site_fract_x
_atom_site_fract_y
_atom_site_fract_z
_atom_site_occupancy
Ga1 Ga 0.750 0.420 0.250 1
Ga2 Ga 0.250 0.580 0.750 1
Hg1 Hg 0.750 0.383 0.750 1
Hg2 Hg 0.250 0.617 0.250 1
Dy1 Dy 0.250 0.219 0.003 1
Dy2 Dy 0.250 0.218 0.497 1
Dy3 Dy 0.750 0.782 0.503 1
Dy4 Dy 0.750 0.781 0.997 1
Ge1 Ge 0.250 0.914 0.750 1
Ge2 Ge 0.750 0.086 0.250 1



[2]
# DyHoGaGe PBE-GGA relaxed
# **Polymorph energy (0 for the lowest one)**: 214 meV per atom
# **DFT total energy**: -4.782 eV/atom
# **Formation energy from the elements**: -576 meV per atom
data_DyHoGaGe
_symmetry_space_group_name_H-M 'P 1'
_symmetry_Int_Tables_number 1
_cell_length_a 5.045
_cell_length_b 5.045
_cell_length_c 5.045
_cell_angle_alpha 60.00
_cell_angle_beta 60.00
_cell_angle_gamma 60.00
loop_
_symmetry_equiv_pos_as_xyz
'x,y,z'
loop_
_atom_site_label
_atom_site_type_symbol
_atom_site_fract_x
_atom_site_fract_y
_atom_site_fract_z
_atom_site_occupancy
Dy1 Dy 0.000 0.000 0.000 1
Ho1 Ho 0.500 0.500 0.500 1
Ga1 Ga 0.750 0.750 0.750 1
Ge1 Ge 0.250 0.250 0.250 1



[3]
# DyHoGaGe PBE-GGA relaxed
# **Polymorph energy (0 for the lowest one)**: 0 meV per atom
# **DFT total energy**: -4.996 eV/atom
# **Formation energy from the elements**: -790 meV per atom
data_DyHoGaGe
_symmetry_space_group_name_H-M 'P 1'
_symmetry_Int_Tables_number 1
_cell_length_a 4.312
_cell_length_b 3.995
_cell_length_c 5.796
_cell_angle_alpha 90.00
_cell_angle_beta 111.84
_cell_angle_gamma 90.00
loop_
_symmetry_equiv_pos_as_xyz
'x,y,z'
loop_
_atom_site_label
_atom_site_type_symbol
_atom_site_fract_x
_atom_site_fract_y
_atom_site_fract_z
_atom_site_occupancy
Dy1 Dy 0.140 0.000 0.279 1
Ho1 Ho 0.860 0.500 0.720 1
Ga1 Ga 0.580 0.500 0.160 1
Ge1 Ge 0.420 0.000 0.841 1



[4]
# Dy2InGaGe PBE-GGA relaxed
# **DFT total energy**: -4.515 eV/atom
# **Formation energy from the elements**: -598 meV per atom
data_Dy2InGaGe
_symmetry_space_group_name_H-M 'P 1'
_symmetry_Int_Tables_number 1
_cell_length_a 4.294
_cell_length_b 6.132
_cell_length_c 8.843
_cell_angle_alpha 90.01
_cell_angle_beta 90.00
_cell_angle_gamma 90.00
loop_
_symmetry_equiv_pos_as_xyz
'x,y,z'
loop_
_atom_site_label
_atom_site_type_symbol
_atom_site_fract_x
_atom_site_fract_y
_atom_site_fract_z
_atom_site_occupancy
Ge1 Ge 0.750 0.047 0.250 1
Ge2 Ge 0.250 0.953 0.750 1
Dy1 Dy 0.750 0.752 0.962 1
Dy2 Dy 0.750 0.752 0.538 1
Dy3 Dy 0.250 0.248 0.462 1
Dy4 Dy 0.250 0.248 0.038 1
Ga1 Ga 0.250 0.545 0.750 1
Ga2 Ga 0.750 0.455 0.250 1
In1 In 0.750 0.262 0.750 1
In2 In 0.250 0.738 0.250 1